MoSeCl7O: PBEsol geometry, meta-GGA SCAN.

Output
**Mass density**: 2.65 g cm⁻³
**SG**: P-1, No. 2
**ΔE_f (raw)**: -0.8572 eV/atom

Lattice parameters (Å, degrees): 7.125 8.733 9.914 89.11 70.93 71.31
Atoms (fractional coordinates):
1 Mo 0.188 0.170 0.100
2 Mo 0.812 0.830 0.900
3 Se 0.463 0.758 0.282
4 Se 0.537 0.242 0.718
5 Cl 0.128 0.933 0.197
6 Cl 0.148 0.273 0.323
7 Cl 0.235 0.368 0.689
8 Cl 0.303 0.893 0.496
9 Cl 0.334 0.558 0.319
10 Cl 0.363 0.354 0.001
11 Cl 0.386 0.004 0.876
12 Cl 0.614 0.996 0.124
13 Cl 0.637 0.646 0.999
14 Cl 0.666 0.442 0.681
15 Cl 0.697 0.107 0.504
16 Cl 0.765 0.632 0.311
17 Cl 0.852 0.727 0.677
18 Cl 0.872 0.067 0.803
19 O 0.042 0.742 0.920
20 O 0.958 0.258 0.080